This record from Alexandria describes a relaxed HoHfPS crystal. The functional is PBE-GGA.

Cell and atoms, written as POSCAR:
```
HoHfPS
1.0
1.858 1.073 6.609
-1.858 1.073 6.609
0.000 -2.145 6.609
Ho Hf P S
1 1 1 1
direct
0.000 0.000 0.000
0.181 0.181 0.181
0.584 0.584 0.584
0.764 0.764 0.764
```

Output
- SG: No. 160
- Energy relative to the elements, uncorrected: -1.531 eV per atom



This record from Alexandria describes a relaxed HoHfSc2P4 crystal. The functional is PBE-GGA.

Cell and atoms, written as POSCAR:
```
HoHfSc2P4
1.0
6.548 0.000 0.000
0.000 3.796 0.000
-2.178 0.000 6.210
Ho Hf Sc P
1 1 2 4
direct
0.000 0.000 0.000
0.000 0.500 0.500
0.500 0.000 0.500
0.500 0.500 0.000
0.252 0.000 0.742
0.258 0.500 0.261
0.742 0.500 0.739
0.748 0.000 0.258
```

Output
- SG: No. 10
- ΔH_f (0 K): -1478 meV per atom



This record from Alexandria describes a relaxed Sm2HoHfP4 crystal. The functional is PBE-GGA.

Cell and atoms, written as POSCAR:
```
Sm2HoHfP4
1.0
6.859 0.000 0.000
0.000 3.956 0.000
-2.263 0.000 6.491
Sm Ho Hf P
2 1 1 4
direct
0.000 0.000 0.000
0.500 0.500 0.000
0.000 0.500 0.500
0.500 0.000 0.500
0.255 0.000 0.735
0.266 0.500 0.270
0.734 0.500 0.730
0.745 0.000 0.265
```

Output
- SG: No. 10
- ΔH_f (0 K): -1510 meV per atom



This record from Alexandria describes a relaxed SmHo2HfP4 crystal. The functional is PBE-GGA.

Cell and atoms, written as POSCAR:
```
SmHo2HfP4
1.0
6.807 0.000 0.000
0.000 3.930 0.000
-2.247 0.000 6.441
Sm Ho Hf P
1 2 1 4
direct
0.000 0.000 0.000
0.500 0.000 0.500
0.500 0.500 0.000
0.000 0.500 0.500
0.239 0.000 0.734
0.248 0.500 0.262
0.752 0.500 0.738
0.761 0.000 0.266
```

Output
- SG: No. 10
- ΔH_f (0 K): -1506 meV per atom



This record from Alexandria describes a relaxed Tb2HoHfP4 crystal. The functional is PBE-GGA.

Cell and atoms, written as POSCAR:
```
Tb2HoHfP4
1.0
6.795 0.000 0.000
0.000 3.918 0.000
-2.241 0.000 6.419
Tb Ho Hf P
2 1 1 4
direct
0.000 0.000 0.000
0.500 0.500 0.000
0.000 0.500 0.500
0.500 0.000 0.500
0.256 0.000 0.740
0.263 0.500 0.265
0.737 0.500 0.735
0.744 0.000 0.260
```

Output
- SG: No. 10
- ΔH_f (0 K): -1535 meV per atom



This record from Alexandria describes a relaxed HoHfTh2P4 crystal. The functional is PBE-GGA.

Cell and atoms, written as POSCAR:
```
HoHfTh2P4
1.0
6.882 0.000 0.000
0.000 3.990 0.000
-2.300 0.000 6.527
Ho Hf Th P
1 1 2 4
direct
0.000 0.000 0.000
0.000 0.500 0.500
0.500 0.000 0.500
0.500 0.500 0.000
0.227 0.000 0.735
0.233 0.500 0.252
0.767 0.500 0.748
0.773 0.000 0.265
```

Output
- SG: No. 10
- ΔH_f (0 K): -1467 meV per atom



Number 1: calculated density 8.544 g/cm3. Number 2: calculated density 5.995 g/cm3. Number 3: calculated density 7.241 g/cm3. Number 4: calculated density 7.540 g/cm3. Number 5: calculated density 7.629 g/cm3. Number 6: calculated density 8.629 g/cm3.